NpFeB2 after structural relaxation, computed with PBE.

Cell lengths 3.4502, 3.4502, 13.5713 Å; angles 90.00, 90.00, 120.00 degrees
Space group R-3m (No. 166, hexagonal axes)
Symmetry-distinct sites (fractional):
Np (0.0000, 0.0000, 0.0000) (multiplicity 3)
Fe (0.0000, 0.0000, 0.5000) (multiplicity 3)
B (0.0000, 0.0000, 0.1987) (multiplicity 6)

Properties
calculated formation energy = -0.03 eV per atom
size of the total moment = 7.27 μB/cell

---

NpFeB4 after structural relaxation, computed with PBE.

Cell lengths 5.900, 11.435, 3.334 Å; angles 90.00, 90.00, 90.00 degrees
Space group Pbam (No. 55)
Symmetry-distinct sites (fractional):
Np (0.126, 0.150, 0.000) (multiplicity 4)
Fe (0.131, 0.412, 0.000) (multiplicity 4)
B (0.026, 0.691, 0.500) (multiplicity 4)
B (0.113, 0.546, 0.500) (multiplicity 4)
B (0.137, 0.967, 0.500) (multiplicity 4)
B (0.219, 0.815, 0.500) (multiplicity 4)

Properties
calculated formation energy = -0.48 eV per atom
size of the total moment = 12.67 μB/cell

---

NpFe5B3 after structural relaxation, computed with PBE.

Cell lengths 3.048, 11.525, 11.121 Å; angles 90.00, 90.00, 90.00 degrees
Space group Cmcm (No. 63)
Symmetry-distinct sites (fractional):
Np (0.000, 0.162, 0.250) (multiplicity 4)
Fe (0.000, 0.000, 0.000) (multiplicity 4)
Fe (0.000, 0.197, 0.564) (multiplicity 8)
Fe (0.000, 0.448, 0.148) (multiplicity 8)
B (0.000, 0.141, 0.750) (multiplicity 4)
B (0.000, 0.379, 0.545) (multiplicity 8)

Properties
calculated formation energy = -0.11 eV per atom
size of the total moment = 43.51 μB/cell

---

NpFe12B6 after structural relaxation, computed with PBE.

Cell lengths 9.5232, 9.5232, 7.3248 Å; angles 90.00, 90.00, 120.00 degrees
Space group R-3m (No. 166, hexagonal axes)
Symmetry-distinct sites (fractional):
Np (0.0000, 0.0000, 0.0000) (multiplicity 3)
Fe (0.0000, 0.3710, 0.5000) (multiplicity 18)
Fe (0.0894, 0.1789, 0.3598) (multiplicity 18)
B (0.0261, 0.5130, 0.2779) (multiplicity 18)

Properties
calculated formation energy = -0.24 eV per atom
size of the total moment = 39.03 μB/cell